1.
First-principles (PBE) data for a relaxed structure of Rh5Se4, as listed in the Alexandria database.

```
Rh5Se4
1.0
-4.955 4.955 1.671
4.955 -4.955 1.671
4.955 4.955 -1.671
Rh Se
5 4
Cartesian
0.000 0.000 0.000
3.219 3.219 0.000
1.737 -1.737 1.671
-1.737 1.737 1.671
1.737 1.737 1.671
2.564 0.000 0.000
7.347 0.000 0.000
0.000 2.564 0.000
0.000 7.347 0.000
```

The total energy comes out at -0.4210 Ry per atom. Its formation energy (no corrections) is -95 meV/atom. As for the magnetic moment: 0.000 μB/f.u. Its space-group type is No. 139.

=====

2.
First-principles (PBE) data for a relaxed structure of La3Zr, as listed in the Alexandria database.

```
La3Zr
1.0
7.203 0.000 0.000
-3.601 6.238 0.000
0.000 0.000 5.824
La Zr
6 2
Cartesian
0.000 2.166 1.456
-1.725 5.155 1.456
1.876 1.083 4.368
1.725 5.155 1.456
5.327 1.083 4.368
3.601 4.072 4.368
0.000 4.159 4.368
3.601 2.079 1.456
```

The total energy comes out at -0.4174 Ry per atom. As for the magnetic moment: 0.000 μB/f.u. The energy of formation from the pure elements comes out at 0.154 eV per atom. Its space-group type is No. 194.